[1]
Density functional theory data (PBE) for a relaxed Ca3Pm5 crystal.

a b c (Å): 3.7109 3.7109 26.0939
angles (deg): 73.70 106.30 119.95
Atoms (fractional coordinates):
1 Ca 0.5000 0.5000 0.0000
2 Ca 0.9819 0.0181 0.8671
3 Ca 0.0181 0.9819 0.1329
4 Pm 0.5000 0.5000 0.5000
5 Pm 0.9897 0.0103 0.6206
6 Pm 0.0103 0.9897 0.3794
7 Pm 0.4754 0.5246 0.7378
8 Pm 0.5246 0.4754 0.2622

symmetry = C2/m, No. 12
E_tot = -29.53 eV for the cell shown
energy of formation from the pure elements = 28.6 meV/atom

=====

[2]
Density functional theory data (PBE) for a relaxed CaPm crystal.

a b c (Å): 3.7488 3.7488 10.7222
angles (deg): 90.00 90.00 90.07
Atoms (fractional coordinates):
1 Ca 0.5000 0.5000 0.7605
2 Ca 0.0000 0.0000 0.4895
3 Pm 0.0000 0.0000 0.0150
4 Pm 0.5000 0.5000 0.2350

symmetry = P4/nmm, No. 129
E_tot = -13.39 eV for the cell shown
energy of formation from the pure elements = 27.8 meV/atom